# Nd6ZnCo2 | Alexandria | GGA-PBE | relaxed
# - Distance to the lowest polymorph of the same formula: 0.00 eV per formula unit
# - Crystal system: orthorhombic
# - Electronic total energy: -5.018 eV per atom
data_Nd6ZnCo2
_chemical_formula_sum 'Nd24 Zn4 Co8'
_cell_length_a 9.5605
_cell_length_b 9.9273
_cell_length_c 10.1504
_cell_angle_alpha 90.00
_cell_angle_beta 90.00
_cell_angle_gamma 90.00
_symmetry_space_group_name_H-M 'I m m m'
_symmetry_Int_Tables_number 71
_symmetry_space_group_name_Hall '-I 2 2'
loop_
_atom_site_label
_atom_site_fract_x
_atom_site_fract_y
_atom_site_fract_z
_atom_site_occupancy
Nd1 0.0000 0.1957 0.2362 1
Nd2 0.1862 0.5000 0.1753 1
Nd3 0.2199 0.3207 0.5000 1
Zn1 0.0000 0.0000 0.0000 1
Zn2 0.0000 0.0000 0.5000 1
Co1 0.0000 0.3321 0.0000 1
Co2 0.0000 0.5000 0.3880 1